(1)
# KPaBiO5 GGA-PBE relaxed
data_KPaBiO5
_space_group_name_H-M_alt 'C 1 2/c 1'
_space_group_IT_number 15
_cell_length_a 7.921
_cell_length_b 10.518
_cell_length_c 8.358
_cell_angle_alpha 90.00
_cell_angle_beta 114.63
_cell_angle_gamma 90.00
loop_
_space_group_symop_operation_xyz
'x,y,z'
'-x,-y,-z'
'-x,y,-z+1/2'
'x,-y,z+1/2'
'x+1/2,y+1/2,z'
'-x+1/2,-y+1/2,-z'
'-x+1/2,y+1/2,-z+1/2'
'x+1/2,-y+1/2,z+1/2'
loop_
_atom_site_label
_atom_site_fract_x
_atom_site_fract_y
_atom_site_fract_z
K1 0.000 0.180 0.250
Pa1 0.000 0.500 0.000
Bi1 0.000 0.184 0.750
O1 0.000 0.449 0.250
O2 0.090 0.304 0.592
O3 0.209 0.054 0.909
# E_form (uncorrected) = -2.24 eV per atom
# magnetization = 0.0 μB/cell
# ρ = 5.87 Mg/m³
# DOS at the Fermi energy = 0.442 states/eV per atom

(2)
# HfCd GGA-PBE relaxed
data_HfCd
_space_group_name_H-M_alt 'P 4/m m m'
_space_group_IT_number 123
_space_group_name_Hall '-P 4 2'
_cell_length_a 3.127
_cell_length_b 3.127
_cell_length_c 4.327
_cell_angle_alpha 90.00
_cell_angle_beta 90.00
_cell_angle_gamma 90.00
loop_
_atom_site_label
_atom_site_fract_x
_atom_site_fract_y
_atom_site_fract_z
Hf1 0.000 0.000 0.000
Cd1 0.500 0.500 0.500
# E_form = 0.0307 eV/atom
# magnetization = 0.1 μB/cell
# ρ = 11.41 Mg/m³
# DOS at the Fermi energy = 1.082 states/eV per atom

Q: What is the formula in the second record?
A: HfCd